[1]
Crystalline Tb2Pm2Tm2Mg at its relaxed geometry, computed with PBE.

Calculated values
- magnetic moment (μB per formula unit) = 0.00
- crystal system = monoclinic
- final energy (eV/atom) = -4.10
- DOS at the Fermi energy (states/eV per cell) = 17.23
- density (g/cm³) = 7.22

Cell lengths 12.1204, 3.6579, 11.5462 Å; angles 90.00, 119.42, 90.00 degrees
With the nearest neighbours (Å) after each atom.
Space group C2/m (No. 12)
Unique sites:
1 Tb 0.1809 0.0000 0.0880 x4  4 Pm 3.48-3.86, 2 Tm 3.50, 5 Tb 3.66-3.82
2 Pm 0.0259 0.0000 0.7425 x4  2 Mg 3.23, 3 Tb 3.48-3.60, 3 Tm 3.50-3.52
3 Tm 0.2444 0.0000 0.6247 x4  2 Mg 3.16, 2 Tm 3.47, 2 Tb 3.50, 3 Pm 3.50-3.52
4 Mg 0.0000 0.5000 0.5000 x2  4 Tm 3.16, 4 Pm 3.23

***

[2]
Crystalline YHo4Er3 at its relaxed geometry, computed with PBE.

Calculated values
- magnetic moment (μB per formula unit) = 0.00
- crystal system = orthorhombic
- final energy (eV/atom) = -4.81
- DOS at the Fermi energy (states/eV per cell) = 26.59
- density (g/cm³) = 8.27

Cell lengths 11.1511, 7.2163, 6.2392 Å; angles 90.00, 90.00, 90.00 degrees
With the nearest neighbours (Å) after each atom.
Space group Pmn2_1 (No. 31)
Unique sites:
1 Y 0.0000 0.1252 0.0000 x2  6 Er 3.48-3.61, 6 Ho 3.49-3.61
2 Ho 0.0000 0.3748 0.5004 x2  6 Ho 3.47-3.62, 4 Er 3.48-3.61, 2 Y 3.60
3 Ho 0.0000 0.6249 0.9984 x2  6 Ho 3.47-3.62, 4 Er 3.47-3.61, 2 Y 3.61
4 Ho 0.2487 0.6247 0.3320 x4  6 Ho 3.47-3.60, 5 Er 3.47-3.61, 1 Y 3.49
5 Er 0.0000 0.8750 0.4995 x2  6 Ho 3.47-3.61, 4 Er 3.48, 2 Y 3.60-3.61
6 Er 0.2500 0.1252 0.3338 x4  6 Ho 3.47-3.61, 4 Er 3.48-3.61, 2 Y 3.48

***

[3]
Crystalline TaZnHg2 at its relaxed geometry, computed with PBE.

Calculated values
- magnetic moment (μB per formula unit) = 0.00
- crystal system = orthorhombic
- final energy (eV/atom) = -2.99
- DOS at the Fermi energy (states/eV per cell) = 4.17
- density (g/cm³) = 13.77

Cell lengths 2.8868, 5.3528, 10.1070 Å; angles 90.00, 90.00, 90.00 degrees
With the nearest neighbours (Å) after each atom.
Space group Immm (No. 71)
Unique sites:
1 Ta 0.0000 0.0000 0.0000 x2  2 Ta 2.89, 4 Hg 2.98, 4 Zn 3.04
2 Zn 0.0000 0.0000 0.5000 x2  4 Hg 2.84, 2 Zn 2.89, 4 Ta 3.04
3 Hg 0.0000 0.5000 0.2415 x4  2 Zn 2.84, 6 Hg 2.89-3.05, 2 Ta 2.98